NbAs2O: optimized geometry, PBE.

Summary:
As for the calculated volume: 265.58 Å³/cell. Its size of the total moment is 0.00 μB/cell. The electronic total energy comes out at -23.93 eV/f.u. The raw formation energy is 0.1004 eV per atom.

```
data_NbAs2O
_cell_length_a 6.126
_cell_length_b 6.126
_cell_length_c 7.077
_cell_angle_alpha 90.00
_cell_angle_beta 90.00
_cell_angle_gamma 90.00
_space_group_name_H-M_alt 'I -4 2 d'
_space_group_IT_number 122
_space_group_name_Hall 'I -4 2bw'
loop_
_atom_site_label
_atom_site_type_symbol
_atom_site_fract_x
_atom_site_fract_y
_atom_site_fract_z
Nb1 Nb 0.000 0.000 0.000
As1 As 0.183 0.250 0.625
O1 O 0.000 0.000 0.500
```